[1]
VASP calculation (PBE-GGA) on La3Pr3Ho2 after structural relaxation.

Calculated values
calculated density = 6.90 Mg/m³
uncorrected energy = -4.76 eV per atom
formation energy = 0.0196 eV per atom
DOS(E_F) = 26.3 states/eV/cell
relative energy among the computed polymorphs = 0.000 eV/atom

Geometry as CIF:
```
data_La3Pr3Ho2
_chemical_formula_sum 'La6 Pr6 Ho4'
_cell_length_a 5.216
_cell_length_b 5.224
_cell_length_c 20.664
_cell_angle_alpha 90.00
_cell_angle_beta 90.00
_cell_angle_gamma 90.00
_space_group_name_H-M_alt 'I m m m'
_space_group_IT_number 71
_space_group_name_Hall '-I 2 2'
loop_
_atom_site_label
_atom_site_fract_x
_atom_site_fract_y
_atom_site_fract_z
La1 0.000 0.000 0.000
La2 0.000 0.500 0.128
Pr1 0.000 0.000 0.500
Pr2 0.000 0.500 0.371
Ho1 0.000 0.000 0.249
```

[2]
VASP calculation (PBE-GGA) on CsSnAsSe3 after structural relaxation.

Calculated values
calculated density = 4.69 Mg/m³
uncorrected energy = -3.85 eV per atom
uncorrected formation energy = -3.135 eV per formula unit

Geometry as CIF:
```
data_CsSnAsSe3
_chemical_formula_sum 'Cs2 Sn2 As2 Se6'
_cell_length_a 9.720
_cell_length_b 4.001
_cell_length_c 10.556
_cell_angle_alpha 90.00
_cell_angle_beta 103.51
_cell_angle_gamma 90.00
_space_group_name_H-M_alt 'P 1 21/m 1'
_space_group_IT_number 11
loop_
_space_group_symop_operation_xyz
'x,y,z'
'-x,-y,-z'
'-x,y+1/2,-z'
'x,-y+1/2,z'
loop_
_atom_site_label
_atom_site_fract_x
_atom_site_fract_y
_atom_site_fract_z
Cs1 0.192 0.250 0.244
Sn1 0.127 0.250 0.608
As1 0.364 0.750 0.882
Se1 0.169 0.250 0.878
Se2 0.312 0.750 0.588
Se3 0.446 0.750 0.127
```

[3]
VASP calculation (PBE-GGA) on Ca2ZnIn6Ag after structural relaxation.

Calculated values
calculated density = 5.65 Mg/m³
uncorrected energy = -2.55 eV per atom
formation energy = -0.0926 eV per atom
DOS(E_F) = 25.3 states/eV/cell

Geometry as CIF:
```
data_Ca2ZnIn6Ag
_chemical_formula_sum 'Ca12 Zn6 In36 Ag6'
_cell_length_a 7.2673
_cell_length_b 7.2673
_cell_length_c 36.3223
_cell_angle_alpha 90.00
_cell_angle_beta 90.00
_cell_angle_gamma 120.00
_space_group_name_H-M_alt 'R -3 m'
_space_group_IT_number 166
_space_group_name_Hall '-R 3 2"'
loop_
_atom_site_label
_atom_site_fract_x
_atom_site_fract_y
_atom_site_fract_z
Ca1 0.0000 0.0000 0.1070
Ca2 0.0000 0.0000 0.2853
Zn1 0.0000 0.0000 0.4276
In1 0.0492 0.5246 0.2975
In2 0.0598 0.5299 0.8700
Ag1 0.0000 0.0000 0.0000
Ag2 0.0000 0.0000 0.5000
```